First-principles (PBE with a Hubbard U) data for Cs2VCl2F2 after structural relaxation, as listed in the Alexandria database.

Magnetization   3.0 μB/f.u.
Electronic total energy   -63.692 eV for the cell shown

abc: 4.654 4.654 16.769
angles: 90.00 90.00 90.00
Space group I4/mmm (No. 139)
Unique sites:
Cs 0.000 0.000 0.130 (multiplicity 4)
V 0.000 0.000 0.500 (multiplicity 2)
Cl 0.000 0.000 0.349 (multiplicity 4)
F 0.000 0.500 0.000 (multiplicity 4)